# 1
Density functional theory data (GGA-PBE) for a relaxed LiCoNi4 crystal.

## Properties
**Formation energy from the elements**: 0.9 eV per formula unit
**Polymorph energy (0 for the lowest one)**: 0.00 kcal/mol of atoms
**Symmetry**: No. 216

a b c (Å): 4.6585 4.6585 4.6585
angles (deg): 60.00 60.00 60.00
With the nearest neighbours (Å) after each atom.
Positions (direct):
Li 0.0000 0.0000 0.0000  12 Ni 2.73, 4 Co 2.85
Co 0.2500 0.2500 0.2500  12 Ni 2.73, 4 Li 2.85
Ni 0.1249 0.6250 0.6250  6 Ni 2.33
Ni 0.6250 0.1249 0.6250  6 Ni 2.33
Ni 0.6250 0.6250 0.1249  6 Ni 2.33
Ni 0.6250 0.6250 0.6250  6 Ni 2.33

# 2
Density functional theory data (GGA-PBE) for a relaxed DyHfIr crystal.

## Properties
**Formation energy from the elements**: -1.7 eV per formula unit
**Polymorph energy (0 for the lowest one)**: 3.85 kcal/mol of atoms
**Symmetry**: No. 216

a b c (Å): 6.5893 6.5893 6.5893
angles (deg): 90.00 90.00 90.00
With the nearest neighbours (Å) after each atom.
Positions (direct):
Dy 0.0000 0.0000 0.0000  4 Ir 2.85
Dy 0.0000 0.5000 0.5000  4 Ir 2.85
Dy 0.5000 0.0000 0.5000  4 Ir 2.85
Dy 0.5000 0.5000 0.0000  4 Ir 2.85
Hf 0.0000 0.0000 0.5000  4 Ir 2.85
Hf 0.0000 0.5000 0.0000  4 Ir 2.85
Hf 0.5000 0.0000 0.0000  4 Ir 2.85
Hf 0.5000 0.5000 0.5000  4 Ir 2.85
Ir 0.2500 0.2500 0.2500  4 Hf 2.85, 4 Dy 2.85
Ir 0.2500 0.7500 0.7500  4 Hf 2.85, 4 Dy 2.85
Ir 0.7500 0.2500 0.7500  4 Hf 2.85, 4 Dy 2.85
Ir 0.7500 0.7500 0.2500  4 Hf 2.85, 4 Dy 2.85

# 3
Density functional theory data (GGA-PBE) for a relaxed Al2VZn crystal.

## Properties
**Formation energy from the elements**: -0.7 eV per formula unit
**Symmetry**: No. 123

a b c (Å): 3.9118 3.9118 3.7644
angles (deg): 90.00 90.00 90.00
With the nearest neighbours (Å) after each atom.
Positions (direct):
Al 0.0000 0.5000 0.0000  4 Zn 2.71, 4 V 2.71, 4 Al 2.77
Al 0.5000 0.0000 0.0000  4 Zn 2.71, 4 V 2.71, 4 Al 2.77
V 0.0000 0.0000 0.5000  8 Al 2.71, 4 Zn 2.77
Zn 0.5000 0.5000 0.5000  8 Al 2.71, 4 V 2.77

# 4
Density functional theory data (GGA-PBE) for a relaxed LaCd2Ag crystal.

## Properties
**Formation energy from the elements**: -0.7 eV per formula unit
**Symmetry**: No. 123

a b c (Å): 4.5205 4.5205 5.1025
angles (deg): 90.00 90.00 90.00
With the nearest neighbours (Å) after each atom.
Positions (direct):
La 0.0000 0.0000 0.0000  4 Ag 3.20, 8 Cd 3.41
Cd 0.0000 0.5000 0.5000  4 Cd 3.20, 4 La 3.41, 4 Ag 3.41
Cd 0.5000 0.0000 0.5000  4 Cd 3.20, 4 La 3.41, 4 Ag 3.41
Ag 0.5000 0.5000 0.0000  4 La 3.20, 8 Cd 3.41

# 5
Density functional theory data (GGA-PBE) for a relaxed NaCa4Pm3Te8 crystal.

## Properties
**Uncorrected formation energy**: -1.498 eV per atom
**Symmetry**: No. 166

a b c (Å): 9.0095 9.0095 9.0095
angles (deg): 59.77 59.77 59.77
With the nearest neighbours (Å) after each atom.
Positions (direct):
Na 0.0000 0.0000 0.0000  6 Te 3.19
Ca 0.0000 0.0000 0.5000  6 Te 3.17-3.18
Ca 0.0000 0.5000 0.0000  6 Te 3.17-3.18
Ca 0.5000 0.0000 0.0000  6 Te 3.17-3.18
Ca 0.5000 0.5000 0.5000  6 Te 3.17
Pm 0.0000 0.5000 0.5000  6 Te 3.18-3.19
Pm 0.5000 0.0000 0.5000  6 Te 3.18-3.19
Pm 0.5000 0.5000 0.0000  6 Te 3.18-3.19
Te 0.2495 0.2495 0.2495  3 Ca 3.17, 3 Pm 3.19
Te 0.2508 0.2508 0.7490  3 Ca 3.17-3.18, 2 Pm 3.18, 1 Na 3.19
Te 0.2508 0.7490 0.2508  3 Ca 3.17-3.18, 2 Pm 3.18, 1 Na 3.19
Te 0.2510 0.7492 0.7492  3 Ca 3.17-3.18, 2 Pm 3.18, 1 Na 3.19
Te 0.7490 0.2508 0.2508  3 Ca 3.17-3.18, 2 Pm 3.18, 1 Na 3.19
Te 0.7492 0.2510 0.7492  3 Ca 3.17-3.18, 2 Pm 3.18, 1 Na 3.19
Te 0.7492 0.7492 0.2510  3 Ca 3.17-3.18, 2 Pm 3.18, 1 Na 3.19
Te 0.7505 0.7505 0.7505  3 Ca 3.17, 3 Pm 3.19

# 6
Density functional theory data (GGA-PBE) for a relaxed RbMg5 crystal.

## Properties
**Formation energy from the elements**: 1.0 eV per formula unit
**Polymorph energy (0 for the lowest one)**: 0.72 kcal/mol of atoms
**Symmetry**: No. 38

a b c (Å): 5.1980 3.3129 21.5915
angles (deg): 90.00 90.00 90.00
With the nearest neighbours (Å) after each atom.
Positions (direct):
Rb 0.0000 0.0000 0.0000  2 Rb 3.31
Rb 0.0000 0.5000 0.5000  2 Rb 3.31
Mg 0.0000 0.0000 0.3040  10 Mg 3.14-3.31
Mg 0.0000 0.0000 0.6746  10 Mg 3.17-3.31
Mg 0.0000 0.5000 0.1746  10 Mg 3.17-3.31
Mg 0.0000 0.5000 0.8040  10 Mg 3.14-3.31
Mg 0.5000 0.0000 0.1393  8 Mg 3.14-3.31
Mg 0.5000 0.0000 0.3858  6 Mg 3.13-3.31
Mg 0.5000 0.0000 0.7628  12 Mg 3.13-3.31
Mg 0.5000 0.5000 0.2628  12 Mg 3.13-3.31
Mg 0.5000 0.5000 0.6393  8 Mg 3.14-3.31
Mg 0.5000 0.5000 0.8858  6 Mg 3.13-3.31